No. 1
Material: DyRuPt
Method: DFT, PBE
State: relaxed

Cell and atoms, written as extended XYZ:
```
6
Lattice="-3.266 -4.587 -0.587 5.632 -0.494 0.307 1.138 3.385 4.421" Properties=species:S:1:pos:R:3 pbc="T T T"
Dy 3.707 1.510 3.920
Dy -0.204 -3.206 0.221
Pt 0.569 1.693 2.211
Pt 1.752 -0.848 2.071
Ru 4.737 -0.950 1.018
Ru -1.233 -0.746 3.123
```

Uncorrected energy (eV/cell): -42.3
Total moment (μB per formula unit): 0.0
Volume (Å³/cell): 111.6
Energy relative to the elements (eV/f.u.): -1.22

No. 2
Material: ScAsS2Cl
Method: DFT, PBE
State: relaxed

Cell and atoms, written as extended XYZ:
```
5
Lattice="-1.605 2.774 3.641 2.504 -2.698 3.159 3.762 2.872 -0.529" Properties=species:S:1:pos:R:3 pbc="T T T"
Sc 2.331 1.474 3.136
As 0.000 0.000 0.000
S 1.252 -1.349 1.580
S -0.803 1.387 1.821
Cl 1.881 1.436 -0.265
```

Uncorrected energy (eV/cell): -21.9
Total moment (μB per formula unit): 0.8
ΔE_f (raw) (kJ/mol of formula units): -80
Polymorph energy (0 for the lowest one) (eV per atom): 0.255
Volume (Å³/cell): 112.1

No. 3
Material: TaTl2Pb
Method: DFT, PBE
State: relaxed

Cell and atoms, written as extended XYZ:
```
8
Lattice="8.736 0.000 0.000 0.000 8.736 0.000 4.368 4.368 2.942" Properties=species:S:1:pos:R:3 pbc="T T T"
Pb 0.000 0.000 0.000
Pb 8.736 4.368 1.471
Tl 6.055 2.184 0.736
Tl 2.681 6.552 0.736
Tl 6.552 7.049 2.207
Tl 10.920 10.423 2.207
Ta 4.368 4.368 0.000
Ta 4.368 8.736 1.471
```

Uncorrected energy (eV/cell): -34.3
Total moment (μB per formula unit): 0.0
Polymorph energy (0 for the lowest one) (eV per atom): 0.400
Volume (Å³/cell): 224.6
Energy relative to the elements (eV/f.u.): 3.16

No. 4
Material: Er2Be3Si4Pt
Method: DFT, PBE
State: relaxed

Cell and atoms, written as extended XYZ:
```
10
Lattice="3.907 0.000 0.000 0.000 3.907 0.000 0.000 0.000 9.789" Properties=species:S:1:pos:R:3 pbc="T T T"
Er 1.953 0.000 2.384
Er 0.000 1.953 7.405
Be 0.000 0.000 4.895
Be 1.953 0.000 8.511
Be 0.000 1.953 1.278
Si 1.953 1.953 0.000
Si 0.000 0.000 0.000
Si 1.953 0.000 6.302
Si 0.000 1.953 3.487
Pt 1.953 1.953 4.895
```

Uncorrected energy (eV/cell): -53.6
Total moment (μB per formula unit): 0.0
ΔE_f (raw) (kJ/mol of formula units): -537
Volume (Å³/cell): 149.4

No. 5
Material: Dy4Y9Mg11
Method: DFT, PBE
State: relaxed

Cell and atoms, written as extended XYZ:
```
24
Lattice="-1.124 -1.277 -3.188 10.117 -9.632 0.292 -11.268 -5.489 6.173" Properties=species:S:1:pos:R:3 pbc="T T T"
Dy -3.114 -10.372 3.207
Dy 0.839 -6.026 0.071
Dy 0.455 -11.064 2.225
Dy -2.730 -5.335 1.053
Y 3.975 -7.466 -0.458
Y -6.250 -8.933 3.736
Y -5.992 -5.535 2.283
Y 3.716 -10.863 0.995
Y -3.607 -13.653 4.695
Y 1.332 -2.746 -1.417
Y 0.442 -14.437 3.581
Y -2.717 -1.961 -0.304
Y -1.138 -8.199 1.639
Mg -4.716 -10.864 6.017
Mg 3.565 -4.256 0.449
Mg 2.948 -12.349 3.909
Mg -4.100 -2.772 2.556
Mg 2.257 -8.109 2.454
Mg -3.408 -7.012 4.012
Mg 6.263 -8.885 1.352
Mg -7.414 -6.236 5.113
Mg 0.000 0.000 0.000
Mg -0.907 -11.915 5.094
Mg -0.244 -3.206 1.371
```

Uncorrected energy (eV/cell): -95.2
Total moment (μB per formula unit): 0.0
Volume (Å³/cell): 672.0
Energy relative to the elements (eV/f.u.): -1.06

No. 6
Material: Rb2Sr4Pt
Method: DFT, PBE
State: relaxed

Cell and atoms, written as extended XYZ:
```
7
Lattice="6.063 0.000 0.000 0.000 6.063 0.000 3.031 3.031 11.605" Properties=species:S:1:pos:R:3 pbc="T T T"
Sr 6.063 6.063 2.919
Sr 3.031 3.031 8.686
Sr 0.000 3.031 0.000
Sr 3.031 0.000 0.000
Rb 6.063 6.063 7.506
Rb 3.031 3.031 4.098
Pt 0.000 0.000 0.000
```

Uncorrected energy (eV/cell): -16.1
Total moment (μB per formula unit): 0.0
Volume (Å³/cell): 426.6
Energy relative to the elements (eV/f.u.): -1.40